(1)
PBE-GGA YHo2PuS4, relaxed; calculated total energy = -7.76 eV per atom; formation energy from raw total energies = -45.06 kcal/mol of atoms; total moment = 5.83 μB per formula unit
1.0
6.7775 0.0000 0.0000
0.0000 3.8966 0.0000
-2.2311 0.0000 6.4024
Y Ho Pu S
1 2 1 4
Cartesian
0.0000 0.0000 0.0000
-1.1156 1.9483 3.2012
2.2732 0.0000 3.2012
3.3888 1.9483 0.0000
0.0128 0.0000 4.7716
1.1278 1.9483 1.6261
3.4186 1.9483 4.7763
4.5336 0.0000 1.6308

***

(2)
PBE-GGA YHo2PuS6, relaxed; calculated total energy = -7.39 eV per atom; formation energy from raw total energies = -44.30 kcal/mol of atoms; total moment = 5.00 μB per formula unit
1.0
3.4592 1.9971 6.2032
-3.4592 1.9971 6.2032
0.0000 -3.9943 6.2032
Y Ho Pu S
1 2 1 6
Cartesian
0.0000 0.0000 0.0000
0.0000 0.0000 5.5835
0.0000 0.0000 14.8799
0.0000 0.0000 9.3162
-1.0704 -1.7903 7.4149
-2.4776 -0.1814 10.5316
-1.0153 1.8222 7.4149
1.3959 -2.0550 10.5316
2.0857 -0.0318 7.4149
1.0817 2.2363 10.5316

***

(3)
PBE-GGA Y4Ho3PuS8, relaxed; calculated total energy = -7.41 eV per atom; formation energy from raw total energies = -45.51 kcal/mol of atoms; total moment = 5.78 μB per formula unit
1.0
3.9092 2.2570 6.3861
-3.9092 2.2570 6.3861
0.0000 -4.5139 6.3861
Y Ho Pu S
4 3 1 8
Cartesian
0.0000 0.0000 0.0000
-1.9546 -1.1285 6.3861
-1.9546 1.1285 12.7722
0.0000 2.2570 6.3861
-3.9092 0.0000 9.5792
-1.9546 1.1285 3.1931
1.9546 1.1285 3.1931
0.0000 0.0000 9.5792
-1.9692 -1.1369 11.1679
0.0000 0.0000 4.7690
0.0000 -2.2738 7.9904
-1.9692 1.1369 7.9904
1.9692 -1.1369 11.1679
0.0000 2.2738 11.1679
0.0000 0.0000 14.3894
1.9692 1.1369 7.9904

***

(4)
PBE-GGA YHo3Pu3S8, relaxed; calculated total energy = -8.35 eV per atom; formation energy from raw total energies = -44.73 kcal/mol of atoms; total moment = 17.02 μB per formula unit
1.0
3.9162 2.2610 6.4150
-3.9162 2.2610 6.4150
0.0000 -4.5220 6.4150
Y Ho Pu S
1 3 3 8
Cartesian
0.0000 0.0000 0.0000
-1.9581 -1.1305 6.4150
-1.9581 1.1305 12.8299
0.0000 2.2610 6.4150
-3.9162 0.0000 9.6224
-1.9581 1.1305 3.2075
1.9581 1.1305 3.2075
0.0000 -2.2472 7.9845
-1.9461 1.1236 7.9845
0.0000 0.0000 4.8372
-1.9461 -1.1236 11.2604
1.9461 1.1236 7.9845
0.0000 0.0000 14.4077
1.9461 -1.1236 11.2604
0.0000 2.2472 11.2604

***

(5)
PBE-GGA YHoPu2S4, relaxed; calculated total energy = -8.93 eV per atom; formation energy from raw total energies = -43.97 kcal/mol of atoms; total moment = 11.42 μB per formula unit
1.0
6.7814 0.0000 0.0000
0.0000 3.9153 0.0000
-2.2606 0.0000 6.4549
Y Ho Pu S
1 1 2 4
Cartesian
0.0000 0.0000 0.0000
3.3907 1.9576 0.0000
-1.1303 1.9576 3.2274
2.2604 0.0000 3.2274
1.1385 1.9576 1.5905
0.0092 0.0000 4.8713
4.5116 0.0000 1.5835
3.3823 1.9576 4.8644

***

(6)
PBE-GGA HoPu2ZrS4, relaxed; calculated total energy = -9.04 eV per atom; formation energy from raw total energies = -40.35 kcal/mol of atoms; total moment = 0.20 μB per formula unit
1.0
6.6087 0.0000 0.0000
0.0000 3.8646 0.0000
-2.2695 0.0000 6.3899
Ho Pu Zr S
1 2 1 4
Cartesian
0.0000 0.0000 0.0000
2.1696 0.0000 3.1950
3.3044 1.9323 0.0000
-1.1347 1.9323 3.1950
-0.1016 0.0000 4.7460
1.0253 1.9323 1.6142
3.3139 1.9323 4.7757
4.4409 0.0000 1.6440

***

Question: Among the records above, which one has the lowest formation energy from raw total energies?
Answer: Y4Ho3PuS8

***

Question: Look up the calculated total energy of the sixth one.
Answer: -9.04 eV per atom